The following is a DFT calculation (PBE) of a relaxed structure of TmLuAgRu.

Geometry as extended XYZ:
```
16
Lattice="6.896 0.000 0.000 0.000 6.896 0.000 0.000 0.000 6.896" Properties=species:S:1:pos:R:3 pbc="T T T"
Tm 0.000 0.000 0.000
Tm 0.000 3.448 3.448
Tm 3.448 0.000 3.448
Tm 3.448 3.448 0.000
Lu 0.000 0.000 3.448
Lu 0.000 3.448 0.000
Lu 3.448 0.000 0.000
Lu 3.448 3.448 3.448
Ag 1.724 1.724 1.724
Ag 1.724 5.172 5.172
Ag 5.172 1.724 5.172
Ag 5.172 5.172 1.724
Ru 1.724 1.724 5.172
Ru 1.724 5.172 1.724
Ru 5.172 1.724 1.724
Ru 5.172 5.172 5.172
```

Calculated values
Space-group type = F-43m
ρ = 11.2 g/cm³
Volume = 20.500 Å³/atom
Total magnetic moment = 0.00 μB per formula unit
Formation energy = -1.7 eV/f.u.
N(E_F) = 1.479 states/eV/f.u.
Total DFT energy (no corrections) = -5.701 eV per atom


The following is a DFT calculation (PBE) of a relaxed structure of Sc3TlH.

Geometry as extended XYZ:
```
10
Lattice="4.997 0.000 0.000 -0.024 6.168 0.000 -0.024 -1.378 6.243" Properties=species:S:1:pos:R:3 pbc="T T T"
Sc 0.000 0.000 0.000
Sc 4.983 -0.397 3.292
Sc 0.004 2.953 1.150
Sc 2.420 1.185 2.053
Sc 2.444 3.989 4.210
Sc 2.465 0.777 5.290
Tl 2.494 4.553 1.171
Tl 4.950 2.426 4.182
H 0.437 0.977 1.705
H 3.722 1.538 0.523
```

Calculated values
Space-group type = P1
ρ = 5.9 g/cm³
Volume = 19.244 Å³/atom
Total magnetic moment = 0.12 μB per formula unit
N(E_F) = 4.500 states/eV/f.u.
Total DFT energy (no corrections) = -5.282 eV per atom
Excess energy over the best structure of this formula in the dataset = 0.033 eV per atom


The following is a DFT calculation (PBE) of a relaxed structure of Sr2ScMoAs.

Geometry as extended XYZ:
```
5
Lattice="5.948 0.000 0.000 0.000 5.948 0.000 0.000 0.000 4.827" Properties=species:S:1:pos:R:3 pbc="T T T"
Sr 0.000 2.974 0.000
Sr 2.974 0.000 0.000
Sc 0.000 0.000 2.414
Mo 2.974 2.974 0.000
As 2.974 2.974 2.414
```

Calculated values
Space-group type = P4/mmm
ρ = 3.8 g/cm³
Volume = 34.152 Å³/atom
Total magnetic moment = 2.09 μB per formula unit
Formation energy = 3.1 eV/f.u.
N(E_F) = 6.762 states/eV/f.u.
Total DFT energy (no corrections) = -4.414 eV per atom


The following is a DFT calculation (PBE) of a relaxed structure of VReTc.

Geometry as extended XYZ:
```
6
Lattice="7.020 0.000 0.000 0.000 4.325 0.000 -2.076 0.000 3.382" Properties=species:S:1:pos:R:3 pbc="T T T"
V 0.000 0.000 0.000
V 3.510 2.162 0.000
Re 0.371 0.000 2.522
Re 3.881 2.162 2.522
Tc -0.781 2.162 1.694
Tc 2.729 0.000 1.694
```

Calculated values
Space-group type = Cm
ρ = 10.8 g/cm³
Volume = 17.111 Å³/atom
Total magnetic moment = 0.00 μB per formula unit
Formation energy = 1.6 eV/f.u.
N(E_F) = 3.311 states/eV/f.u.
Total DFT energy (no corrections) = -10.127 eV per atom
Excess energy over the best structure of this formula in the dataset = 0.695 eV per atom


The following is a DFT calculation (PBE) of a relaxed structure of Ho3TlS2.

Geometry as extended XYZ:
```
12
Lattice="2.434 -6.203 0.000 2.434 6.203 0.000 0.000 0.000 9.503" Properties=species:S:1:pos:R:3 pbc="T T T"
Ho 2.434 4.876 7.127
Ho 2.434 1.640 5.233
Ho 2.434 1.640 9.021
Ho 2.434 -1.640 0.482
Ho 2.434 -1.640 4.270
Ho 2.434 -4.876 2.376
Tl 2.434 3.478 2.376
Tl 2.434 -3.478 7.127
S 0.000 0.000 0.000
S 0.000 0.000 4.751
S 2.434 0.362 2.376
S 2.434 -0.362 7.127
```

Calculated values
Space-group type = Cmcm
ρ = 8.8 g/cm³
Volume = 23.908 Å³/atom
Total magnetic moment = 0.00 μB per formula unit
N(E_F) = 3.263 states/eV/f.u.
Total DFT energy (no corrections) = -5.263 eV per atom
Uncorrected formation energy = -1.2043 eV/atom


The following is a DFT calculation (PBE) of a relaxed structure of PaInSe3.

Geometry as extended XYZ:
```
5
Lattice="5.489 0.000 0.000 0.000 5.489 0.000 0.000 0.000 5.489" Properties=species:S:1:pos:R:3 pbc="T T T"
Pa 0.000 0.000 0.000
In 2.744 2.744 2.744
Se 0.000 0.000 2.744
Se 0.000 2.744 0.000
Se 2.744 0.000 0.000
```

Calculated values
Space-group type = Pm-3m
ρ = 5.9 g/cm³
Volume = 33.072 Å³/atom
Total magnetic moment = 0.00 μB per formula unit
Total DFT energy (no corrections) = -5.474 eV per atom
Uncorrected formation energy = -0.9365 eV/atom
Excess energy over the best structure of this formula in the dataset = 0.081 eV per atom


The following is a DFT calculation (PBE) of a relaxed structure of Re2PtBr.

Geometry as extended XYZ:
```
16
Lattice="6.316 0.000 0.000 0.000 6.316 0.000 0.000 0.000 6.316" Properties=species:S:1:pos:R:3 pbc="T T T"
Re 1.579 1.579 1.579
Re 1.579 1.579 4.737
Re 1.579 4.737 1.579
Re 1.579 4.737 4.737
Re 4.737 1.579 1.579
Re 4.737 1.579 4.737
Re 4.737 4.737 1.579
Re 4.737 4.737 4.737
Pt 0.000 0.000 0.000
Pt 0.000 3.158 3.158
Pt 3.158 0.000 3.158
Pt 3.158 3.158 0.000
Br 0.000 0.000 3.158
Br 0.000 3.158 0.000
Br 3.158 0.000 0.000
Br 3.158 3.158 3.158
```

Calculated values
Space-group type = Fm-3m
ρ = 17.1 g/cm³
Volume = 15.750 Å³/atom
Total magnetic moment = 0.00 μB per formula unit
N(E_F) = 4.690 states/eV/f.u.
Total DFT energy (no corrections) = -7.116 eV per atom
Uncorrected formation energy = 1.0366 eV/atom
Excess energy over the best structure of this formula in the dataset = 0.655 eV per atom


The following is a DFT calculation (PBE) of a relaxed structure of CuAs3C.

Geometry as extended XYZ:
```
5
Lattice="4.328 0.000 0.000 0.000 4.328 0.000 0.000 0.000 4.328" Properties=species:S:1:pos:R:3 pbc="T T T"
Cu 0.000 0.000 0.000
As 0.000 2.164 2.164
As 2.164 0.000 2.164
As 2.164 2.164 0.000
C 2.164 2.164 2.164
```

Calculated values
Space-group type = Pm-3m
ρ = 6.2 g/cm³
Volume = 16.215 Å³/atom
Total magnetic moment = 0.00 μB per formula unit
Formation energy = 5.7 eV/f.u.
N(E_F) = 2.289 states/eV/f.u.
Total DFT energy (no corrections) = -4.312 eV per atom
Excess energy over the best structure of this formula in the dataset = 0.000 eV per atom


The following is a DFT calculation (PBE) of a relaxed structure of PaRe4Si2.

Geometry as extended XYZ:
```
14
Lattice="4.132 0.000 0.000 0.000 13.797 0.000 0.000 0.000 4.050" Properties=species:S:1:pos:R:3 pbc="T T T"
Pa 0.000 0.000 0.000
Pa 2.066 6.898 0.000
Re 0.000 2.527 2.025
Re 0.000 4.249 0.000
Re 0.000 9.547 0.000
Re 0.000 11.269 2.025
Re 2.066 2.649 0.000
Re 2.066 4.371 2.025
Re 2.066 9.426 2.025
Re 2.066 11.148 0.000
Si 0.000 5.715 2.025
Si 0.000 8.082 2.025
Si 2.066 1.183 2.025
Si 2.066 12.613 2.025
```

Calculated values
Space-group type = Cmmm
ρ = 14.8 g/cm³
Volume = 16.489 Å³/atom
Total magnetic moment = 0.00 μB per formula unit
N(E_F) = 2.160 states/eV/f.u.
Total DFT energy (no corrections) = -10.490 eV per atom
Uncorrected formation energy = -0.4704 eV/atom


The following is a DFT calculation (PBE) of a relaxed structure of CaZn3H.

Geometry as extended XYZ:
```
5
Lattice="4.391 0.000 0.000 0.000 4.391 0.000 0.000 0.000 4.391" Properties=species:S:1:pos:R:3 pbc="T T T"
Ca 0.000 0.000 0.000
Zn 0.000 2.196 2.196
Zn 2.196 0.000 2.196
Zn 2.196 2.196 0.000
H 2.196 2.196 2.196
```

Calculated values
Space-group type = Pm-3m
ρ = 4.7 g/cm³
Volume = 16.933 Å³/atom
Total magnetic moment = 0.00 μB per formula unit
N(E_F) = 1.925 states/eV/f.u.
Total DFT energy (no corrections) = -1.684 eV per atom


The following is a DFT calculation (PBE) of a relaxed structure of CsZn3As3.

Geometry as extended XYZ:
```
14
Lattice="9.705 0.000 0.000 -4.853 8.405 0.000 0.000 0.000 5.186" Properties=species:S:1:pos:R:3 pbc="T T T"
Cs 0.000 5.603 1.296
Cs 4.853 2.802 3.889
Zn -0.683 1.792 1.296
Zn -2.960 8.101 1.296
Zn 1.210 1.487 3.889
Zn 3.643 6.918 1.296
Zn 7.812 0.304 3.889
Zn 5.536 6.614 3.889
As -0.970 2.572 3.889
As -2.141 7.959 3.889
As 1.742 2.126 1.296
As 3.111 6.279 3.889
As 6.993 0.446 1.296
As 5.823 5.834 1.296
```

Calculated values
Space-group type = P6_3/m
ρ = 4.3 g/cm³
Volume = 30.217 Å³/atom
Total magnetic moment = 0.00 μB per formula unit
Formation energy = -0.8 eV/f.u.
N(E_F) = 5.113 states/eV/f.u.
Total DFT energy (no corrections) = -2.775 eV per atom
Excess energy over the best structure of this formula in the dataset = 0.140 eV per atom


The following is a DFT calculation (PBE) of a relaxed structure of RbYPS2.

Geometry as extended XYZ:
```
5
Lattice="5.280 0.000 0.000 0.000 5.280 0.000 0.000 0.000 5.152" Properties=species:S:1:pos:R:3 pbc="T T T"
Rb 0.000 0.000 0.000
Y 2.640 2.640 2.576
P 0.000 0.000 2.576
S 0.000 2.640 0.000
S 2.640 0.000 0.000
```

Calculated values
Space-group type = P4/mmm
ρ = 3.1 g/cm³
Volume = 28.726 Å³/atom
Total magnetic moment = 0.74 μB per formula unit
N(E_F) = 4.495 states/eV/f.u.
Total DFT energy (no corrections) = -3.456 eV per atom
Uncorrected formation energy = 0.7631 eV/atom
Excess energy over the best structure of this formula in the dataset = 1.420 eV per atom